Entry 1:
Below is PmGd3 at its PBEsol-relaxed geometry, with properties calculated at the meta-GGA SCAN level.

Summary:
Symmetry: Pm-3m (221)
Calculated density, kg/m3: 8375

```
PmGd3
1.0
4.964 0.000 0.000
0.000 4.964 0.000
0.000 0.000 4.964
Pm Gd
1 3
Direct
0.000 0.000 0.000
0.000 0.500 0.500
0.500 0.000 0.500
0.500 0.500 0.000
```

---

Entry 2:
Below is Pm3Gd at its PBEsol-relaxed geometry, with properties calculated at the meta-GGA SCAN level.

Summary:
Symmetry: I4/mmm (139)
Calculated density, kg/m3: 7744

```
Pm3Gd
1.0
5.032 0.000 0.000
0.000 5.032 0.000
0.000 0.000 10.029
Pm Gd
6 2
Direct
0.000 0.000 0.000
0.000 0.500 0.250
0.000 0.500 0.750
0.500 0.000 0.250
0.500 0.000 0.750
0.500 0.500 0.500
0.000 0.000 0.500
0.500 0.500 0.000
```

---

Across the entries above, ΔE_f takes the values 0.10, 0.02 eV/atom, respectively.
Across the entries above, total moment takes the values 23.11, 15.28 μB/cell, respectively.